# 1
# Si2AgSb, optimized geometry, DFT PBE
# Energy relative to the elements, uncorrected, eV/atom: 0.386
# Total DFT energy (no corrections), Ry/atom: -0.29906
# Total moment, μB per atom: 0.000
data_Si2AgSb
_chemical_formula_sum 'Si2 Ag1 Sb1'
_symmetry_space_group_name_H-M 'P 1'
_symmetry_Int_Tables_number 1
_cell_length_a 6.130
_cell_length_b 6.130
_cell_length_c 6.130
_cell_angle_alpha 146.15
_cell_angle_beta 140.66
_cell_angle_gamma 52.85
loop_
_symmetry_equiv_pos_as_xyz
'x,y,z'
loop_
_atom_site_label
_atom_site_fract_x
_atom_site_fract_y
_atom_site_fract_z
_atom_site_occupancy
Ag1 0.498 0.498 0.000 1
Sb1 0.192 0.692 0.500 1
Si1 0.981 0.981 0.000 1
Si2 0.828 0.328 0.500 1


# 2
# ErNp3Sb4, optimized geometry, DFT PBE
# Energy relative to the elements, uncorrected, eV/atom: -0.413
# Total DFT energy (no corrections), Ry/atom: -0.58047
# Total moment, μB per atom: 1.485
data_ErNp3Sb4
_chemical_formula_sum 'Er1 Np3 Sb4'
_symmetry_space_group_name_H-M 'P 1'
_symmetry_Int_Tables_number 1
_cell_length_a 4.377
_cell_length_b 7.599
_cell_length_c 7.599
_cell_angle_alpha 109.33
_cell_angle_beta 90.00
_cell_angle_gamma 90.00
loop_
_symmetry_equiv_pos_as_xyz
'x,y,z'
loop_
_atom_site_label
_atom_site_fract_x
_atom_site_fract_y
_atom_site_fract_z
_atom_site_occupancy
Np1 0.000 0.000 0.500 1
Np2 0.500 0.500 0.500 1
Np3 0.000 0.500 0.000 1
Sb1 0.000 0.248 0.248 1
Sb2 0.500 0.751 0.249 1
Sb3 0.000 0.752 0.752 1
Sb4 0.500 0.249 0.751 1
Er1 0.500 0.000 0.000 1


# 3
# KHg2Pb2, optimized geometry, DFT PBE
# Total DFT energy (no corrections), Ry/atom: -0.13984
# Formation enthalpy at 0 K, eV per atom: -0.079
# Total moment, μB per atom: 0.000
data_KHg2Pb2
_chemical_formula_sum 'K2 Hg4 Pb4'
_symmetry_space_group_name_H-M 'P 1'
_symmetry_Int_Tables_number 1
_cell_length_a 9.276
_cell_length_b 9.276
_cell_length_c 3.625
_cell_angle_alpha 90.00
_cell_angle_beta 90.00
_cell_angle_gamma 90.00
loop_
_symmetry_equiv_pos_as_xyz
'x,y,z'
loop_
_atom_site_label
_atom_site_fract_x
_atom_site_fract_y
_atom_site_fract_z
_atom_site_occupancy
Pb1 0.371 0.871 0.000 1
Pb2 0.871 0.629 0.000 1
Pb3 0.629 0.129 0.000 1
Pb4 0.129 0.371 0.000 1
K1 0.000 0.000 0.000 1
K2 0.500 0.500 0.000 1
Hg1 0.166 0.666 0.500 1
Hg2 0.666 0.834 0.500 1
Hg3 0.834 0.334 0.500 1
Hg4 0.334 0.166 0.500 1


# 4
# Pm8CuOs2, optimized geometry, DFT PBE
# Total DFT energy (no corrections), Ry/atom: -0.43241
# Formation enthalpy at 0 K, eV per atom: -0.014
# Total moment, μB per atom: 0.000
data_Pm8CuOs2
_chemical_formula_sum 'Pm8 Cu1 Os2'
_symmetry_space_group_name_H-M 'P 1'
_symmetry_Int_Tables_number 1
_cell_length_a 6.197
_cell_length_b 7.696
_cell_length_c 7.696
_cell_angle_alpha 112.29
_cell_angle_beta 100.28
_cell_angle_gamma 100.28
loop_
_symmetry_equiv_pos_as_xyz
'x,y,z'
loop_
_atom_site_label
_atom_site_fract_x
_atom_site_fract_y
_atom_site_fract_z
_atom_site_occupancy
Os1 0.481 0.693 0.316 1
Os2 0.481 0.316 0.693 1
Cu1 0.162 0.003 0.003 1
Pm1 0.590 0.348 0.081 1
Pm2 0.590 0.081 0.348 1
Pm3 0.185 0.368 0.368 1
Pm4 0.988 0.216 0.781 1
Pm5 0.988 0.781 0.216 1
Pm6 0.785 0.639 0.639 1
Pm7 0.376 0.928 0.661 1
Pm8 0.376 0.661 0.928 1